Dy2ScBiC, relaxed, DFT GGA-PBE; volume = 22.39 A^3/atom; M_tot = 0.00 μB per cell; space group = P4/mmm (123); raw total energy = -0.23135 Ha/atom
1.0
4.589 0.000 0.000
0.000 4.939 0.000
0.000 0.000 4.939
Dy Sc Bi C
2 1 1 1
Direct
0.000 0.000 0.500
0.000 0.500 0.000
0.500 0.000 0.000
0.500 0.500 0.500
0.000 0.000 0.000

=====

Pm2Tm2In5, relaxed, DFT GGA-PBE; volume = 29.15 A^3/atom; M_tot = 0.00 μB per cell; space group = Cmce (64); raw total energy = -0.14165 Ha/atom
1.0
-0.539 -7.575 2.538
-0.082 -2.524 -7.551
8.253 0.710 3.871
Pm Tm In
4 4 10
Direct
0.000 0.199 0.399
0.500 0.699 0.399
0.000 0.801 0.601
0.500 0.301 0.601
0.658 0.844 0.000
0.342 0.156 0.000
0.158 0.656 0.000
0.842 0.344 0.000
0.000 0.000 0.000
0.500 0.500 0.000
0.861 0.770 0.257
0.139 0.487 0.257
0.361 0.987 0.257
0.639 0.270 0.257
0.139 0.230 0.743
0.861 0.513 0.743
0.639 0.013 0.743
0.361 0.730 0.743

=====

BaLi2Mn, relaxed, DFT GGA-PBE; volume = 27.40 A^3/atom; M_tot = 3.79 μB per cell; space group = P2/m (10); raw total energy = -0.12100 Ha/atom; distance to the lowest polymorph of the same formula = 74 meV per atom
1.0
5.032 0.000 0.000
0.000 3.505 0.037
0.000 0.913 6.224
Ba Li Mn
1 2 1
Direct
0.500 0.750 0.750
0.000 0.031 0.076
0.000 0.469 0.424
0.500 0.250 0.250

=====

LiAg2Au5, relaxed, DFT GGA-PBE; volume = 18.74 A^3/atom; M_tot = 0.00 μB per cell; space group = Cmcm (63); raw total energy = -0.11235 Ha/atom; distance to the lowest polymorph of the same formula = 26 meV per atom
1.0
4.764 0.000 0.000
-2.382 5.938 0.000
0.000 0.000 10.600
Li Ag Au
2 4 10
Direct
0.761 0.522 0.750
0.239 0.478 0.250
0.784 0.568 0.429
0.784 0.568 0.071
0.216 0.432 0.571
0.216 0.432 0.929
0.960 0.921 0.879
0.960 0.921 0.621
0.410 0.820 0.409
0.410 0.820 0.091
0.609 0.217 0.250
0.391 0.783 0.750
0.590 0.180 0.591
0.590 0.180 0.909
0.040 0.079 0.121
0.040 0.079 0.379

=====

Sr2MnNb, relaxed, DFT GGA-PBE; volume = 37.82 A^3/atom; M_tot = 0.00 μB per cell; space group = I-42d (122); raw total energy = -0.17295 Ha/atom; distance to the lowest polymorph of the same formula = 0 meV per atom
1.0
-2.872 -10.010 5.714
9.400 -5.442 -4.808
4.468 -7.119 2.121
Sr Nb Mn
4 2 2
Direct
0.447 0.125 0.250
0.303 0.625 0.250
0.375 0.553 0.750
0.875 0.697 0.750
0.000 0.000 0.000
0.750 0.250 0.500
0.500 0.500 0.000
0.250 0.750 0.500

=====

NaPu2VN4, relaxed, DFT GGA-PBE; E_form (uncorrected) = -0.942 eV per atom; volume = 15.24 A^3/atom; M_tot = 20.01 μB per cell; space group = Cmcm (63); raw total energy = -0.36720 Ha/atom
1.0
-3.415 0.090 0.287
1.994 -3.941 4.480
0.869 8.990 7.520
Na Pu V N
2 4 2 8
Direct
0.087 0.174 0.750
0.913 0.826 0.250
0.371 0.742 0.539
0.629 0.258 0.039
0.629 0.258 0.461
0.371 0.742 0.961
0.823 0.646 0.750
0.177 0.354 0.250
0.250 0.501 0.114
0.750 0.499 0.614
0.750 0.499 0.886
0.250 0.501 0.386
0.000 0.000 0.500
0.000 0.000 0.000
0.398 0.797 0.750
0.602 0.203 0.250

=====

TaTi3In2, relaxed, DFT GGA-PBE; volume = 18.74 A^3/atom; M_tot = 0.00 μB per cell; space group = P4/mmm (123); raw total energy = -0.25602 Ha/atom; distance to the lowest polymorph of the same formula = 0 meV per atom
1.0
-0.424 -2.999 -1.359
2.741 0.438 -1.821
5.607 -4.164 7.441
Ta Ti In
1 3 2
Direct
0.500 0.500 0.500
0.000 0.000 0.000
0.000 0.000 0.647
0.000 0.000 0.353
0.500 0.500 0.822
0.500 0.500 0.178

=====

Tm6CoRh, relaxed, DFT GGA-PBE; volume = 27.19 A^3/atom; M_tot = 0.00 μB per cell; space group = C2/m (12); raw total energy = -0.19950 Ha/atom
1.0
-1.183 -1.694 -6.200
4.168 -4.771 -1.654
-1.443 -6.047 0.846
Tm Co Rh
6 1 1
Direct
0.744 0.435 0.658
0.744 0.093 0.342
0.256 0.907 0.658
0.256 0.565 0.342
0.739 0.752 0.000
0.261 0.248 0.000
0.500 0.500 0.000
0.000 0.000 0.000

=====

Pr2MgP3Pd4, relaxed, DFT GGA-PBE; volume = 18.38 A^3/atom; M_tot = 0.00 μB per cell; space group = P-4m2 (115); raw total energy = -0.21109 Ha/atom
1.0
-0.238 -3.520 2.191
4.050 0.273 0.877
-2.277 5.610 8.767
Pr Mg P Pd
2 1 3 4
Direct
0.500 0.000 0.229
0.000 0.500 0.771
0.500 0.500 0.500
0.000 0.000 0.500
0.500 0.000 0.865
0.000 0.500 0.135
0.500 0.500 0.000
0.000 0.000 0.000
0.500 0.000 0.642
0.000 0.500 0.358

=====

ThAl3NiPt, relaxed, DFT GGA-PBE; volume = 18.38 A^3/atom; M_tot = 0.00 μB per cell; space group = Cmcm (63); raw total energy = -0.20886 Ha/atom
1.0
5.897 0.000 0.000
0.000 6.253 0.000
0.000 -3.127 5.982
Th Al Ni Pt
2 6 2 2
Direct
0.750 0.271 0.543
0.250 0.729 0.457
0.250 0.142 0.285
0.000 0.286 0.000
0.500 0.714 0.000
0.500 0.286 0.000
0.000 0.714 0.000
0.750 0.858 0.715
0.250 0.941 0.883
0.750 0.059 0.117
0.250 0.353 0.706
0.750 0.647 0.294

=====

AlCr2Cl, relaxed, DFT GGA-PBE; E_form (uncorrected) = 0.115 eV per atom; volume = 17.21 A^3/atom; M_tot = 7.02 μB per cell; space group = Pmmm (47); raw total energy = -0.22396 Ha/atom; distance to the lowest polymorph of the same formula = 97 meV per atom
1.0
3.040 0.000 0.000
0.000 3.162 -0.019
0.000 0.046 7.164
Cr Al Cl
2 1 1
Direct
0.000 0.750 0.033
0.000 0.750 0.467
0.500 0.250 0.250
0.500 0.750 0.750

=====

LaDy2PaSb4, relaxed, DFT GGA-PBE; E_form (uncorrected) = -0.975 eV per atom; volume = 30.87 A^3/atom; M_tot = 0.69 μB per cell; space group = I-4m2 (119); raw total energy = -0.22011 Ha/atom
1.0
6.278 0.003 0.000
-0.003 6.278 0.000
-3.137 -3.141 6.266
La Dy Pa Sb
1 2 1 4
Direct
0.500 0.500 0.000
0.250 0.750 0.500
0.000 0.000 0.000
0.750 0.250 0.500
0.997 0.497 0.994
0.503 0.003 0.006
0.755 0.755 0.510
0.245 0.245 0.490